# Fe2IrO

Fe2IrO after structural relaxation (PBE with a Hubbard U, the Alexandria database).

Summary:
density of states at the Fermi level	2.2	states/eV/f.u.
symmetry	No. 122
calculated total energy	-6.278	eV/atom

Unit cell a=5.8525 b=5.8525 c=5.3800 alpha=57.05 beta=57.05 gamma=90.00
Each line ends with the local moment (μB).
Atoms (fractional coordinates):
Ir: 0.0000 0.0000 0.0000  0.80
Ir: 0.7500 0.2500 0.5000  0.80
Fe: 0.5483 0.1250 0.2500  3.78
Fe: 0.2017 0.6250 0.2500  3.78
Fe: 0.3750 0.4517 0.7500  3.80
Fe: 0.8750 0.7983 0.7500  3.79
O: 0.5000 0.5000 0.0000  0.14
O: 0.2500 0.7500 0.5000  0.14